VASP calculation (GGA-PBE) on a relaxed ErTe3Au2 crystal.

POSCAR file:
```
ErTe3Au2
1.0
4.138 0.000 -0.842
-0.158 7.655 -0.776
0.111 -0.289 11.140
Te Er Au
6 2 4
Direct
0.580 0.376 0.160
0.248 0.204 0.497
0.752 0.796 0.503
0.917 0.188 0.834
0.083 0.812 0.166
0.420 0.624 0.840
0.649 0.047 0.298
0.351 0.953 0.702
0.295 0.559 0.591
0.705 0.441 0.409
0.951 0.850 0.902
0.049 0.150 0.098
```

Summary:
As for the total magnetization: 0.00 μB/f.u. Its formation energy without anion corrections is -579 meV/atom. The calculation puts the distance to the lowest polymorph of the same formula at 0.00 eV per formula unit.